Entry 1:
{
  "formula": "ZnCrCuAs2",
  "functional": "PBE",
  "state": "optimized geometry",
  "lattice": [[4.597, 0.000, 0.000], [0.000, 4.597, 0.000], [0.000, 0.000, 4.880]],
  "species": ["Zn", "Cr", "Cu", "As", "As"],
  "fractional_positions": [[0.000, 0.000, 0.000], [0.500, 0.500, 0.000], [0.500, 0.500, 0.500], [0.000, 0.500, 0.500], [0.500, 0.000, 0.500]]
}

=====

Entry 2:
{
  "formula": "HoPaFe",
  "functional": "PBE",
  "state": "optimized geometry",
  "lattice": [[4.051, 0.000, 0.000], [-2.026, 3.508, 0.000], [0.000, 0.000, 4.998]],
  "species": ["Ho", "Pa", "Fe"],
  "fractional_positions": [[0.000, 0.000, 0.000], [0.667, 0.333, 0.500], [0.333, 0.667, 0.500]]
}

=====

Number 1: mass density 5.33 g cm⁻³, N(E_F) 2.38 states/eV per cell, ΔE_f 0.707 eV/atom. Number 2: mass density 10.56 g cm⁻³, N(E_F) 4.39 states/eV per cell, ΔE_f 0.064 eV/atom.